1.
VASP calculation (GGA-PBE) on crystalline CsLa3 at its relaxed geometry.

Cell and atoms, written as extended XYZ:
```
4
Lattice="6.693 -0.020 0.000 2.234 6.309 0.000 -4.464 -3.145 3.871" Properties=species:S:1:pos:R:3 pbc="T T T"
La 3.347 -0.010 1.935
La 1.117 3.155 1.935
La 4.464 3.145 0.000
Cs 0.000 0.000 0.000
```

Results
formation energy: 0.5063 eV per atom
total magnetic moment: 0.000 Bohr magnetons per cell

=====

2.
VASP calculation (GGA-PBE) on crystalline CsLiLa2 at its relaxed geometry.

Cell and atoms, written as extended XYZ:
```
8
Lattice="-2.458 -3.575 -2.212 0.856 -2.934 3.791 -12.546 1.095 6.809" Properties=species:S:1:pos:R:3 pbc="T T T"
La -9.982 -1.715 5.822
Li -0.801 -3.255 0.790
La -10.839 -4.779 6.366
Li -6.245 -2.547 5.695
La -2.988 -2.123 3.723
Cs -7.902 -2.867 2.694
Cs 0.000 0.000 0.000
La -4.486 -2.211 0.866
```

Results
excess energy over the best structure of this formula in the dataset: 23.1 meV per atom
formation energy: 0.5467 eV per atom
total magnetic moment: 0.000 Bohr magnetons per cell

=====

3.
VASP calculation (GGA-PBE) on crystalline CsLiLa2 at its relaxed geometry.

Cell and atoms, written as extended XYZ:
```
4
Lattice="0.000 4.149 4.149 4.149 0.000 4.149 4.149 4.149 0.000" Properties=species:S:1:pos:R:3 pbc="T T T"
La 2.075 2.075 2.075
Cs 4.149 4.149 4.149
La 6.224 6.224 6.224
Li 0.000 0.000 0.000
```

Results
excess energy over the best structure of this formula in the dataset: 0.0 meV per atom
formation energy: 0.5236 eV per atom
total magnetic moment: 0.000 Bohr magnetons per cell

=====

Look up the total magnetic moment of the third one. 0.000 Bohr magnetons per cell